No. 1
The following is a DFT calculation (PBE) of crystalline LaTa2CoAs at its relaxed geometry.

a = 4.813 Å, b = 4.432 Å, c = 4.813 Å
α = 90.00°, β = 90.00°, γ = 90.00°
Element x y z (fractional)
1 Ta 0.500 0.000 0.000
2 Ta 0.000 0.000 0.500
3 La 0.500 0.500 0.500
4 Co 0.000 0.000 0.000
5 As 0.000 0.500 0.000

Computed properties:
* energy relative to the elements: 0.43 eV per atom
* D(E_F): 0.987 states/eV per atom
* size of the total moment: 0.00 Bohr magnetons per cell
* symmetry: P4/mmm


No. 2
The following is a DFT calculation (PBE) of crystalline NaTl2OsO8 at its relaxed geometry.

a = 5.293 Å, b = 4.589 Å, c = 6.884 Å
α = 89.93°, β = 90.00°, γ = 90.73°
Element x y z (fractional)
1 O 0.311 0.225 0.000
2 O 0.128 0.766 0.197
3 O 0.689 0.775 0.000
4 O 0.570 0.867 0.500
5 O 0.872 0.234 0.803
6 O 0.128 0.766 0.803
7 O 0.430 0.133 0.500
8 O 0.872 0.234 0.197
9 Tl 0.500 0.500 0.243
10 Tl 0.500 0.500 0.757
11 Na 0.000 0.000 0.500
12 Os 0.000 0.000 0.000

Computed properties:
* calculated total energy: -65.7 eV for the cell shown
* D(E_F): 0.265 states/eV per atom
* size of the total moment: 0.00 Bohr magnetons per cell
* symmetry: P-1


No. 3
The following is a DFT calculation (PBE) of crystalline Li2Hg4Bi3Pb2 at its relaxed geometry.

a = 5.233 Å, b = 5.233 Å, c = 12.779 Å
α = 90.00°, β = 90.00°, γ = 120.00°
Element x y z (fractional)
1 Bi 0.000 0.000 0.743
2 Bi 0.000 0.000 0.000
3 Bi 0.000 0.000 0.257
4 Li 0.667 0.333 0.896
5 Li 0.333 0.667 0.104
6 Hg 0.333 0.667 0.339
7 Hg 0.333 0.667 0.876
8 Hg 0.667 0.333 0.661
9 Hg 0.667 0.333 0.124
10 Pb 0.667 0.333 0.409
11 Pb 0.333 0.667 0.591

Computed properties:
* energy relative to the elements: -0.09 eV per atom
* D(E_F): 0.133 states/eV per atom
* size of the total moment: 0.00 Bohr magnetons per cell
* symmetry: P-3m1


No. 4
The following is a DFT calculation (PBE) of crystalline AcLa8Nd6 at its relaxed geometry.

a = 8.932 Å, b = 8.932 Å, c = 8.932 Å
α = 66.42°, β = 66.42°, γ = 66.42°
Element x y z (fractional)
1 La 0.573 0.873 0.181
2 La 0.181 0.573 0.873
3 La 0.238 0.238 0.238
4 La 0.873 0.181 0.573
5 La 0.127 0.819 0.427
6 La 0.819 0.427 0.127
7 La 0.762 0.762 0.762
8 La 0.427 0.127 0.819
9 Ac 0.000 0.000 0.000
10 Nd 0.098 0.372 0.651
11 Nd 0.372 0.651 0.098
12 Nd 0.628 0.349 0.902
13 Nd 0.651 0.098 0.372
14 Nd 0.349 0.902 0.628
15 Nd 0.902 0.628 0.349

Computed properties:
* energy relative to the elements: 0.20 eV per atom
* energy above the most stable polymorph in this dataset: 7.4 kJ/mol of atoms
* D(E_F): 1.669 states/eV per atom
* size of the total moment: 0.00 Bohr magnetons per cell
* symmetry: R-3


No. 5
The following is a DFT calculation (PBE) of crystalline Li4ZrCd5 at its relaxed geometry.

a = 3.308 Å, b = 3.308 Å, c = 17.150 Å
α = 90.00°, β = 90.00°, γ = 90.00°
Element x y z (fractional)
1 Cd 0.500 0.500 0.690
2 Cd 0.500 0.500 0.310
3 Cd 0.500 0.500 0.500
4 Cd 0.500 0.500 0.119
5 Cd 0.500 0.500 0.881
6 Li 0.000 0.000 0.786
7 Li 0.000 0.000 0.594
8 Li 0.000 0.000 0.214
9 Li 0.000 0.000 0.406
10 Zr 0.000 0.000 0.000

Computed properties:
* energy relative to the elements: -0.21 eV per atom
* D(E_F): 0.639 states/eV per atom
* size of the total moment: 0.00 Bohr magnetons per cell
* symmetry: P4/mmm


No. 6
The following is a DFT calculation (PBE) of crystalline TbTh6Se8 at its relaxed geometry.

a = 8.354 Å, b = 8.354 Å, c = 8.354 Å
α = 60.00°, β = 60.00°, γ = 60.00°
Element x y z (fractional)
1 Th 0.500 0.000 0.500
2 Th 0.500 0.000 0.000
3 Th 0.000 0.000 0.500
4 Th 0.000 0.500 0.500
5 Th 0.500 0.500 0.000
6 Th 0.000 0.500 0.000
7 Se 0.253 0.747 0.253
8 Se 0.747 0.747 0.253
9 Se 0.747 0.253 0.747
10 Se 0.250 0.250 0.250
11 Se 0.747 0.253 0.253
12 Se 0.253 0.253 0.747
13 Se 0.253 0.747 0.747
14 Se 0.750 0.750 0.750
15 Tb 0.000 0.000 0.000

Computed properties:
* calculated total energy: -101.5 eV for the cell shown
* D(E_F): 0.565 states/eV per atom
* size of the total moment: 0.00 Bohr magnetons per cell
* symmetry: Fm-3m


No. 7
The following is a DFT calculation (PBE) of crystalline CsPrSiTe4 at its relaxed geometry.

a = 7.302 Å, b = 7.656 Å, c = 10.534 Å
α = 90.00°, β = 108.95°, γ = 90.00°
Element x y z (fractional)
1 Si 0.791 0.250 0.670
2 Si 0.209 0.750 0.330
3 Te 0.583 0.250 0.427
4 Te 0.980 0.008 0.292
5 Te 0.980 0.492 0.292
6 Te 0.020 0.508 0.708
7 Te 0.595 0.250 0.827
8 Te 0.405 0.750 0.173
9 Te 0.020 0.992 0.708
10 Te 0.417 0.750 0.573
11 Pr 0.231 0.250 0.550
12 Pr 0.769 0.750 0.450
13 Cs 0.246 0.250 0.060
14 Cs 0.754 0.750 0.940

Computed properties:
* calculated total energy: -59.4 eV for the cell shown
* size of the total moment: 0.00 Bohr magnetons per cell
* symmetry: P2_1/m


No. 8
The following is a DFT calculation (PBE) of crystalline VIr3 at its relaxed geometry.

a = 3.846 Å, b = 3.846 Å, c = 4.699 Å
α = 114.16°, β = 114.16°, γ = 90.00°
Element x y z (fractional)
1 Ir 0.500 0.500 0.000
2 Ir 0.750 0.250 0.500
3 Ir 0.250 0.750 0.500
4 V 0.000 0.000 0.000

Computed properties:
* energy relative to the elements: -0.40 eV per atom
* D(E_F): 0.729 states/eV per atom
* size of the total moment: 0.00 Bohr magnetons per cell
* symmetry: I4/mmm